Record 1
Computed, not measured: an optimized crystal structure of Cd2TeAu at the GGA-PBE level of DFT.

```
4
Lattice="4.181 0.000 0.000 0.000 4.181 0.000 0.000 0.000 5.969" Properties=species:S:1:pos:R:3 pbc="T T T"
Cd 0.000 0.000 0.000
Cd 2.090 2.090 2.978
Te 0.000 0.000 2.985
Au 2.090 2.090 5.965
```

Results
Its calculated total energy is -8.63 eV for the cell shown. As for the uncorrected formation energy: -0.096 eV per atom.

---

Record 2
Computed, not measured: an optimized crystal structure of Sr2LiY at the GGA-PBE level of DFT.

```
4
Lattice="1.953 1.127 12.206 -1.953 1.127 12.206 0.000 -2.255 12.206" Properties=species:S:1:pos:R:3 pbc="T T T"
Sr 0.000 0.000 9.075
Sr 0.000 0.000 27.543
Li 0.000 0.000 18.309
Y 0.000 0.000 0.000
```

Results
The value obtained for the energy above the most stable polymorph in this dataset is 60 meV/atom. Its calculated total energy is -10.95 eV for the cell shown. As for the energy of formation from the pure elements: 0.1975 eV/atom.

---

Record 3
Computed, not measured: an optimized crystal structure of PmZr2Nb at the GGA-PBE level of DFT.

```
4
Lattice="1.626 0.939 10.494 -1.626 0.939 10.494 0.000 -1.877 10.494" Properties=species:S:1:pos:R:3 pbc="T T T"
Pm 0.000 0.000 0.000
Zr 0.000 0.000 7.579
Zr 0.000 0.000 23.902
Nb 0.000 0.000 15.740
```

Results
The value obtained for the energy above the most stable polymorph in this dataset is 135 meV/atom. Its calculated total energy is -30.90 eV for the cell shown. As for the energy of formation from the pure elements: 0.2533 eV/atom.

---

Record 4
Computed, not measured: an optimized crystal structure of Sc2MoPb at the GGA-PBE level of DFT.

```
4
Lattice="1.662 0.960 9.349 -1.662 0.960 9.349 0.000 -1.919 9.349" Properties=species:S:1:pos:R:3 pbc="T T T"
Sc 0.000 0.000 6.661
Sc 0.000 0.000 21.387
Mo 0.000 0.000 14.024
Pb 0.000 0.000 0.000
```

Results
Its calculated total energy is -26.94 eV for the cell shown. As for the energy of formation from the pure elements: 0.0660 eV/atom.

---

Record 5
Computed, not measured: an optimized crystal structure of PrSn2Pt at the GGA-PBE level of DFT.

```
4
Lattice="1.796 1.037 10.109 -1.796 1.037 10.109 0.000 -2.074 10.109" Properties=species:S:1:pos:R:3 pbc="T T T"
Pr 0.000 0.000 0.000
Sn 0.000 0.000 3.244
Sn 0.000 0.000 27.082
Pt 0.000 0.000 15.163
```

Results
Its calculated total energy is -19.48 eV for the cell shown. As for the energy of formation from the pure elements: -0.1635 eV/atom.

---

Record 6
Computed, not measured: an optimized crystal structure of CaIn2Cl at the GGA-PBE level of DFT.

```
4
Lattice="3.711 0.000 0.000 0.000 4.625 0.000 0.000 0.000 6.509" Properties=species:S:1:pos:R:3 pbc="T T T"
Ca 0.000 0.000 0.000
In 0.000 2.313 3.254
In 1.856 0.000 3.254
Cl 1.856 2.313 0.000
```

Results
The value obtained for the energy above the most stable polymorph in this dataset is 103 meV/atom. Its calculated total energy is -12.24 eV for the cell shown. As for the uncorrected formation energy: -0.728 eV per atom.

---

Record 7
Computed, not measured: an optimized crystal structure of PmPaZnGa at the GGA-PBE level of DFT.

```
4
Lattice="0.000 3.602 3.602 3.602 0.000 3.602 3.602 3.602 0.000" Properties=species:S:1:pos:R:3 pbc="T T T"
Pm 0.000 0.000 0.000
Pa 3.602 3.602 3.602
Zn 5.402 5.402 5.402
Ga 1.801 1.801 1.801
```

Results
Its calculated total energy is -19.13 eV for the cell shown. As for the energy of formation from the pure elements: -0.1446 eV/atom.

---

Record 8
Computed, not measured: an optimized crystal structure of CdCu at the GGA-PBE level of DFT.

```
12
Lattice="5.271 0.000 0.000 -2.636 4.565 0.000 0.000 0.000 8.285" Properties=species:S:1:pos:R:3 pbc="T T T"
Cd 0.000 0.000 0.000
Cd 0.000 0.000 4.142
Cd 0.000 3.043 0.563
Cd 0.000 3.043 3.580
Cd 2.636 1.522 4.705
Cd 2.636 1.522 7.722
Cu 0.000 1.614 6.214
Cu -1.238 3.758 6.214
Cu 1.398 0.807 2.071
Cu 1.238 3.758 6.214
Cu 3.873 0.807 2.071
Cu 2.636 2.951 2.071
```

Results
Its calculated total energy is -29.57 eV for the cell shown. As for the energy of formation from the pure elements: 0.0418 eV/atom.

---

Record 9
Computed, not measured: an optimized crystal structure of Ca2MoAu at the GGA-PBE level of DFT.

```
4
Lattice="3.357 -4.346 0.000 3.357 4.346 0.000 0.000 0.000 3.106" Properties=species:S:1:pos:R:3 pbc="T T T"
Ca 1.678 2.173 0.000
Ca 1.678 -2.173 0.000
Mo 0.000 0.000 1.553
Au 3.357 0.000 1.553
```

Results
The value obtained for the energy above the most stable polymorph in this dataset is 121 meV/atom. Its calculated total energy is -16.83 eV for the cell shown. As for the energy of formation from the pure elements: 0.3205 eV/atom.

---

Record 10
Computed, not measured: an optimized crystal structure of AcTb15Sm4 at the GGA-PBE level of DFT.

```
20
Lattice="5.088 0.000 0.000 0.000 5.088 0.000 0.000 0.000 25.380" Properties=species:S:1:pos:R:3 pbc="T T T"
Ac 0.000 0.000 0.000
Tb 0.000 2.544 2.641
Tb 0.000 2.544 7.663
Tb 0.000 2.544 12.690
Tb 0.000 2.544 17.717
Tb 0.000 2.544 22.739
Tb 2.544 0.000 2.641
Tb 2.544 0.000 7.663
Tb 2.544 0.000 12.690
Tb 2.544 0.000 17.717
Tb 2.544 0.000 22.739
Tb 2.544 2.544 0.000
Tb 2.544 2.544 5.154
Tb 2.544 2.544 10.175
Tb 2.544 2.544 15.205
Tb 2.544 2.544 20.227
Sm 0.000 0.000 5.131
Sm 0.000 0.000 10.176
Sm 0.000 0.000 15.205
Sm 0.000 0.000 20.249
```

Results
Its calculated total energy is -91.95 eV for the cell shown. As for the energy of formation from the pure elements: 0.0245 eV/atom.

---

Record 11
Computed, not measured: an optimized crystal structure of PaTcN3 at the GGA-PBE level of DFT.

```
10
Lattice="5.368 0.000 0.000 0.000 3.618 0.000 -2.442 0.000 6.924" Properties=species:S:1:pos:R:3 pbc="T T T"
Pa 0.086 0.905 2.476
Pa 2.840 2.714 4.448
Tc -0.026 0.905 6.014
Tc 2.952 2.714 0.910
N -1.266 0.905 4.367
N -0.979 2.714 6.406
N 1.561 2.714 2.348
N 1.366 0.905 4.577
N 3.906 0.905 0.518
N 4.192 2.714 2.557
```

Results
Its calculated total energy is -97.60 eV for the cell shown. As for the uncorrected formation energy: -0.792 eV per atom.

---

Record 12
Computed, not measured: an optimized crystal structure of RePtSe2 at the GGA-PBE level of DFT.

```
8
Lattice="-2.877 2.877 5.394 2.877 -2.877 5.394 2.877 2.877 -5.394" Properties=species:S:1:pos:R:3 pbc="T T T"
Re 0.000 0.000 0.000
Re 0.000 2.877 2.697
Pt 2.877 0.000 2.697
Pt 0.000 0.000 5.394
Se 4.315 1.358 -1.348
Se 1.358 1.438 1.348
Se -1.438 1.519 4.045
Se 1.519 1.438 6.742
```

Results
The value obtained for the energy above the most stable polymorph in this dataset is 244 meV/atom. Its calculated total energy is -48.26 eV for the cell shown. As for the uncorrected formation energy: 0.332 eV per atom.

---

Among the records above, which one has the highest calculated total energy?
Cd2TeAu

---

Please write out number 11 again, unchanged.
Computed, not measured: an optimized crystal structure of PaTcN3 at the GGA-PBE level of DFT.

```
10
Lattice="5.368 0.000 0.000 0.000 3.618 0.000 -2.442 0.000 6.924" Properties=species:S:1:pos:R:3 pbc="T T T"
Pa 0.086 0.905 2.476
Pa 2.840 2.714 4.448
Tc -0.026 0.905 6.014
Tc 2.952 2.714 0.910
N -1.266 0.905 4.367
N -0.979 2.714 6.406
N 1.561 2.714 2.348
N 1.366 0.905 4.577
N 3.906 0.905 0.518
N 4.192 2.714 2.557
```

Results
Its calculated total energy is -97.60 eV for the cell shown. As for the uncorrected formation energy: -0.792 eV per atom.